# Sr2YRuW (GGA-PBE, relaxed)
data_Sr2YRuW
_symmetry_space_group_name_H-M 'P 1'
_symmetry_Int_Tables_number 1
_symmetry_space_group_name_Hall 'P 1'
_cell_length_a 5.6765
_cell_length_b 5.6765
_cell_length_c 5.3489
_cell_angle_alpha 90.00
_cell_angle_beta 90.00
_cell_angle_gamma 90.00
loop_
_atom_site_label
_atom_site_type_symbol
_atom_site_fract_x
_atom_site_fract_y
_atom_site_fract_z
_atom_site_occupancy
Sr1 Sr 0.0000 0.5000 0.0000 1
Sr2 Sr 0.5000 0.0000 0.0000 1
Y1 Y 0.0000 0.0000 0.5000 1
Ru1 Ru 0.5000 0.5000 0.5000 1
W1 W 0.0000 0.0000 0.0000 1
# raw total energy: -4.83 eV per atom
# crystal system: tetragonal
# space-group type: P4/mmm, No. 123
# size of the total moment: 0.50 μB/atom
# N(E_F): 7.453 states/eV per cell
# formation enthalpy at 0 K: 1.58 eV per atom
# calculated density: 5.290 g cm⁻³

# Dy2Er9Tm (GGA-PBE, relaxed)
data_Dy2Er9Tm
_symmetry_space_group_name_H-M 'P 1'
_symmetry_Int_Tables_number 1
_symmetry_space_group_name_Hall 'P 1'
_cell_length_a 4.9558
_cell_length_b 4.9558
_cell_length_c 14.8580
_cell_angle_alpha 90.00
_cell_angle_beta 90.00
_cell_angle_gamma 90.00
loop_
_atom_site_label
_atom_site_type_symbol
_atom_site_fract_x
_atom_site_fract_y
_atom_site_fract_z
_atom_site_occupancy
Dy1 Dy 0.0000 0.0000 0.1671 1
Dy2 Dy 0.0000 0.0000 0.8329 1
Er1 Er 0.0000 0.5000 0.0000 1
Er2 Er 0.0000 0.5000 0.3342 1
Er3 Er 0.0000 0.5000 0.6658 1
Er4 Er 0.5000 0.0000 0.0000 1
Er5 Er 0.5000 0.0000 0.3342 1
Er6 Er 0.5000 0.0000 0.6658 1
Er7 Er 0.5000 0.5000 0.1673 1
Er8 Er 0.5000 0.5000 0.5000 1
Er9 Er 0.5000 0.5000 0.8327 1
Tm1 Tm 0.0000 0.0000 0.5000 1
# raw total energy: -4.54 eV per atom
# crystal system: tetragonal
# space-group type: P4/mmm, No. 123
# size of the total moment: 0.00 μB/atom
# N(E_F): 17.314 states/eV per cell
# energy above the lowest structure with this stoichiometry: 0.0 kJ per mole of atoms
# formation enthalpy at 0 K: 0.02 eV per atom
# calculated density: 9.098 g cm⁻³

Look up the formation enthalpy at 0 K of the second one.
0.02 eV per atom